1.
Material: Tm2CoRh
Method: DFT, PBE
State: optimized geometry

Cell lengths 4.718, 4.718, 4.718 Å; angles 60.00, 60.00, 60.00 degrees
Fractional positions:
Tm1 0.250 0.250 0.250
Tm2 0.750 0.750 0.750
Co1 0.000 0.000 0.000
Rh1 0.500 0.500 0.500

Output
- E above lowest polymorph (eV per atom) = 0.021
- formation enthalpy at 0 K (kJ/mol of atoms) = -55.8
- symmetry = Fm-3m
- E_tot (eV/atom) = -6.4281
- density (g cm⁻³) = 11.2
- spin magnetization (μB per atom) = 0.06


2.
Material: Tm6CoRh2
Method: DFT, PBE
State: optimized geometry

Cell lengths 6.376, 7.229, 11.184 Å; angles 90.00, 122.99, 90.00 degrees
Fractional positions:
Tm1 0.098 0.042 0.247
Tm2 0.098 0.458 0.747
Tm3 0.230 0.673 0.069
Tm4 0.230 0.827 0.569
Tm5 0.395 0.179 0.064
Tm6 0.395 0.321 0.564
Tm7 0.605 0.679 0.436
Tm8 0.605 0.821 0.936
Tm9 0.770 0.173 0.431
Tm10 0.770 0.327 0.931
Tm11 0.902 0.542 0.253
Tm12 0.902 0.958 0.753
Co1 0.500 0.000 0.500
Co2 0.500 0.500 0.000
Rh1 0.313 0.118 0.765
Rh2 0.313 0.382 0.265
Rh3 0.687 0.618 0.735
Rh4 0.687 0.882 0.235

Output
- formation enthalpy at 0 K (kJ/mol of atoms) = -50.8
- symmetry = P2_1/c
- E_tot (eV/atom) = -5.9305
- density (g cm⁻³) = 9.8
- spin magnetization (μB per atom) = 0.00


3.
Material: TmCoRh
Method: DFT, PBE
State: optimized geometry

Cell lengths 5.397, 5.397, 5.397 Å; angles 131.95, 118.34, 81.76 degrees
Fractional positions:
Tm1 0.372 0.122 0.250
Tm2 0.628 0.878 0.750
Co1 0.041 0.791 0.250
Co2 0.959 0.209 0.750
Rh1 0.000 0.500 0.500
Rh2 0.500 0.500 0.000

Output
- formation enthalpy at 0 K (kJ/mol of atoms) = -28.9
- symmetry = Imma
- E_tot (eV/atom) = -6.6096
- density (g cm⁻³) = 11.1
- spin magnetization (μB per atom) = 0.51


4.
Material: Tm8CoRh2
Method: DFT, PBE
State: optimized geometry

Cell lengths 8.784, 8.784, 6.647 Å; angles 107.00, 107.00, 32.37 degrees
Fractional positions:
Tm1 0.031 0.031 0.294
Tm2 0.202 0.202 0.811
Tm3 0.335 0.335 0.534
Tm4 0.407 0.407 0.058
Tm5 0.593 0.593 0.942
Tm6 0.665 0.665 0.466
Tm7 0.798 0.798 0.189
Tm8 0.969 0.969 0.706
Co1 0.500 0.500 0.500
Rh1 0.186 0.186 0.204
Rh2 0.814 0.814 0.796

Output
- E above lowest polymorph (eV per atom) = 0.000
- formation enthalpy at 0 K (kJ/mol of atoms) = -38.6
- symmetry = C2/m
- E_tot (eV/atom) = -5.6350
- density (g cm⁻³) = 10.3
- spin magnetization (μB per atom) = 0.00


5.
Material: Tm12Co6Rh
Method: DFT, PBE
State: optimized geometry

Cell lengths 8.122, 8.122, 8.122 Å; angles 109.47, 109.47, 109.47 degrees
Fractional positions:
Tm1 0.104 0.807 0.296
Tm2 0.193 0.296 0.489
Tm3 0.193 0.704 0.896
Tm4 0.296 0.104 0.807
Tm5 0.296 0.489 0.193
Tm6 0.489 0.193 0.296
Tm7 0.511 0.807 0.704
Tm8 0.704 0.511 0.807
Tm9 0.704 0.896 0.193
Tm10 0.807 0.296 0.104
Tm11 0.807 0.704 0.511
Tm12 0.896 0.193 0.704
Co1 0.116 0.616 0.500
Co2 0.384 0.500 0.884
Co3 0.500 0.116 0.616
Co4 0.500 0.884 0.384
Co5 0.616 0.500 0.116
Co6 0.884 0.384 0.500
Rh1 0.000 0.000 0.000

Output
- formation enthalpy at 0 K (kJ/mol of atoms) = -26.7
- symmetry = Im-3
- E_tot (eV/atom) = -5.7320
- density (g cm⁻³) = 10.0
- spin magnetization (μB per atom) = 0.00


6.
Material: Tm8Co2Rh
Method: DFT, PBE
State: optimized geometry

Cell lengths 7.317, 7.317, 5.743 Å; angles 99.83, 99.83, 113.11 degrees
Fractional positions:
Tm1 0.000 0.000 0.000
Tm2 0.029 0.290 0.587
Tm3 0.146 0.583 0.185
Tm4 0.290 0.029 0.587
Tm5 0.442 0.704 0.777
Tm6 0.583 0.146 0.185
Tm7 0.704 0.442 0.777
Tm8 0.727 0.727 0.370
Co1 0.058 0.676 0.686
Co2 0.676 0.058 0.686
Rh1 0.362 0.362 0.309

Output
- E above lowest polymorph (eV per atom) = 0.054
- formation enthalpy at 0 K (kJ/mol of atoms) = -21.8
- symmetry = Cm
- E_tot (eV/atom) = -5.4382
- density (g cm⁻³) = 9.7
- spin magnetization (μB per atom) = 0.00


7.
Material: Tm6CoRh5
Method: DFT, PBE
State: optimized geometry

Cell lengths 7.521, 7.521, 6.741 Å; angles 90.00, 90.00, 143.16 degrees
Fractional positions:
Tm1 0.000 0.000 0.247
Tm2 0.000 0.000 0.753
Tm3 0.335 0.665 0.249
Tm4 0.335 0.665 0.751
Tm5 0.665 0.335 0.249
Tm6 0.665 0.335 0.751
Co1 0.500 0.500 0.000
Rh1 0.167 0.833 0.000
Rh2 0.167 0.833 0.500
Rh3 0.500 0.500 0.500
Rh4 0.833 0.167 0.000
Rh5 0.833 0.167 0.500

Output
- formation enthalpy at 0 K (kJ/mol of atoms) = -81.3
- symmetry = Cmmm
- E_tot (eV/atom) = -6.7333
- density (g cm⁻³) = 11.5
- spin magnetization (μB per atom) = 0.04


8.
Material: Tm5Co4Rh
Method: DFT, PBE
State: optimized geometry

Cell lengths 3.305, 3.305, 16.563 Å; angles 90.00, 90.00, 90.00 degrees
Fractional positions:
Tm1 0.000 0.000 0.000
Tm2 0.000 0.000 0.197
Tm3 0.000 0.000 0.395
Tm4 0.000 0.000 0.605
Tm5 0.000 0.000 0.803
Co1 0.500 0.500 0.099
Co2 0.500 0.500 0.297
Co3 0.500 0.500 0.703
Co4 0.500 0.500 0.901
Rh1 0.500 0.500 0.500

Output
- formation enthalpy at 0 K (kJ/mol of atoms) = -35.9
- symmetry = P4/mmm
- E_tot (eV/atom) = -6.1853
- density (g cm⁻³) = 10.9
- spin magnetization (μB per atom) = 0.14